LiCeAg: relaxed, PBE-GGA.

The space group is Pmmn (No. 59, origin choice 2) and the conventional cell measures 3.947, 3.982 and 8.756 Å, with angles of 90.00, 90.00 and 90.00 degrees. The distinct sites, in fractional coordinates, are Li at (0.250, 0.250, 0.001), Ce at (0.250, 0.750, 0.624) and Ag at (0.250, 0.750, 0.224).

For the energy of formation, the calculation gives -0.046 eV per atom. The value obtained for the energy above the most stable polymorph in this dataset is 0.0000 eV per atom. For the uncorrected energy, the calculation gives -3.6126 eV per atom.